Material: LaHo2Ga6
Method: DFT, PBE-GGA
State: relaxed

**Symmetry**: No. 191
**Energy relative to the elements**: -0.636 eV per atom

Lattice parameters (Å, degrees): 4.2235 7.3512 7.3512 120.00 90.00 90.00
Fractional positions:
Ga1 0.5000 0.0000 0.3358
Ga2 0.5000 0.0000 0.6642
La1 0.0000 0.0000 0.0000
Ga3 0.5000 0.6642 0.6642
Ga4 0.5000 0.6642 0.0000
Ho1 0.0000 0.3333 0.6667
Ga5 0.5000 0.3358 0.0000
Ho2 0.0000 0.6667 0.3333
Ga6 0.5000 0.3358 0.3358

---

Material: NpTl2PtO8
Method: DFT, PBE-GGA
State: relaxed

**Symmetry**: No. 10
**E_form (uncorrected)**: -1.229 eV/atom

Lattice parameters (Å, degrees): 5.1921 5.0578 6.5270 90.00 90.00 93.46
Site moments in Bohr magnetons follow the coordinates.
Fractional positions:
O1 0.1471 0.8007 0.2529  -0.04
Np1 0.0000 0.0000 0.0000  1.26
O2 0.1471 0.8008 0.7471  -0.04
O3 0.6823 0.7300 0.0000  -0.04
O4 0.3177 0.2700 0.0000  -0.04
O5 0.6709 0.7603 0.5000  -0.01
O6 0.3291 0.2397 0.5000  -0.01
Tl1 0.5000 0.5000 0.2599  0.00
O7 0.8529 0.1993 0.7471  -0.04
Pt1 0.0000 0.0000 0.5000  -0.02
O8 0.8529 0.1992 0.2529  -0.04
Tl2 0.5000 0.5000 0.7401  0.00

---

Number 1: VASP energy -4.22 eV/atom, spin magnetization 0.00 μB/cell, ρ 7.45 Mg/m³. Number 2: VASP energy -6.51 eV/atom, spin magnetization 1.00 μB/cell, ρ 9.40 Mg/m³.